Record 1
Sr2LiSn2: optimized geometry, PBE.

a b c (Å): 9.8991 9.8991 3.5300
angles (deg): 90.00 90.00 90.00
Space group P4/mbm (No. 127)
Inequivalent atoms, fractional coordinates:
Sr 0.1272 0.3728 0.0000
Li 0.0000 0.0000 0.0000
Sn 0.1733 0.6733 0.5000

## Properties
- Offset from the most stable computed form: 302 meV/atom
- DOS(E_F): 1.69 states/eV/f.u.
- E: -2.95 eV/atom


Record 2
SrLi6Sn4: optimized geometry, PBE.

a b c (Å): 7.7967 7.7967 4.7002
angles (deg): 90.00 90.00 120.00
Space group P-6m2 (No. 187)
Inequivalent atoms, fractional coordinates:
Sr 0.0000 0.0000 0.0000
Li 0.2155 0.4310 0.5000
Li 0.5349 0.0698 0.0000
Sn 0.3333 0.6667 0.0000
Sn 0.4093 0.2046 0.5000

## Properties
- DOS(E_F): 4.56 states/eV/f.u.
- E: -3.01 eV/atom


Record 3
Sr2Li2Sn: optimized geometry, PBE.

a b c (Å): 3.9112 3.9112 21.2663
angles (deg): 90.00 90.00 90.00
Space group I4/mmm (No. 139)
Inequivalent atoms, fractional coordinates:
Sr 0.0000 0.0000 0.1002
Li 0.0000 0.5000 0.2500
Sn 0.0000 0.0000 0.5000

## Properties
- Offset from the most stable computed form: 126 meV/atom
- DOS(E_F): 3.03 states/eV/f.u.
- E: -2.43 eV/atom


Record 4
SrLi3Sn: optimized geometry, PBE.

a b c (Å): 7.9512 7.1431 10.1741
angles (deg): 90.00 122.66 90.00
Space group P2_1/c (No. 14)
Inequivalent atoms, fractional coordinates:
Sr 0.1858 0.0651 0.2013
Li 0.0135 0.6090 0.1049
Li 0.3847 0.5016 0.3411
Li 0.4285 0.1631 0.5740
Sn 0.2919 0.7152 0.0281

## Properties
- Offset from the most stable computed form: 0 meV/atom
- DOS(E_F): 2.18 states/eV/f.u.
- E: -2.55 eV/atom


Record 5
Sr2Li2Sn: optimized geometry, PBE.

a b c (Å): 11.9440 4.9689 12.3704
angles (deg): 90.00 116.49 90.00
Space group C2/m (No. 12)
Inequivalent atoms, fractional coordinates:
Sr 0.0257 0.0000 0.3423
Sr 0.2108 0.0000 0.1257
Li 0.0146 0.5000 0.1231
Li 0.1746 0.5000 0.5459
Sn 0.2376 0.5000 0.3372

## Properties
- Offset from the most stable computed form: 0 meV/atom
- DOS(E_F): 3.38 states/eV/f.u.
- E: -2.56 eV/atom


Record 6
Sr3Li2Sn7: optimized geometry, PBE.

a b c (Å): 4.6907 4.7907 15.1343
angles (deg): 90.00 98.84 90.00
Space group P2/m (No. 10)
Inequivalent atoms, fractional coordinates:
Sr 0.0000 0.0000 0.0000
Sr 0.3178 0.5000 0.6360
Li 0.1341 0.0000 0.2645
Sn 0.0812 0.5000 0.1665
Sn 0.2218 0.0000 0.4435
Sn 0.4141 0.0000 0.8320
Sn 0.5000 0.5000 0.0000

## Properties
- DOS(E_F): 5.37 states/eV/f.u.
- E: -3.54 eV/atom


Record 7
Sr2LiSn6: optimized geometry, PBE.

a b c (Å): 11.8335 6.8548 6.3017
angles (deg): 90.00 90.01 90.00
Space group C2/m (No. 12)
Inequivalent atoms, fractional coordinates:
Sr 0.1669 0.0000 0.1682
Li 0.0000 0.5000 0.0000
Sn 0.0889 0.2327 0.6785
Sn 0.1779 0.5000 0.3221

## Properties
- DOS(E_F): 3.11 states/eV/f.u.
- E: -3.67 eV/atom


Record 8
Sr2Li2Sn: optimized geometry, PBE.

a b c (Å): 7.5931 7.5931 5.1812
angles (deg): 90.00 90.00 90.00
Space group P4/mbm (No. 127)
Inequivalent atoms, fractional coordinates:
Sr 0.1982 0.3018 0.0000
Li 0.1300 0.6300 0.5000
Sn 0.0000 0.0000 0.5000

## Properties
- Offset from the most stable computed form: 46 meV/atom
- DOS(E_F): 2.66 states/eV/f.u.
- E: -2.51 eV/atom


> The highest E belongs to which entry?

number 3


> What is the formula in the second record?

SrLi6Sn4


Repeat the third record exactly.
Sr2Li2Sn: optimized geometry, PBE.

a b c (Å): 3.9112 3.9112 21.2663
angles (deg): 90.00 90.00 90.00
Space group I4/mmm (No. 139)
Inequivalent atoms, fractional coordinates:
Sr 0.0000 0.0000 0.1002
Li 0.0000 0.5000 0.2500
Sn 0.0000 0.0000 0.5000

## Properties
- Offset from the most stable computed form: 126 meV/atom
- DOS(E_F): 3.03 states/eV/f.u.
- E: -2.43 eV/atom